# 1
A relaxed Ba3CoOs crystal. Source: Alexandria, functional PBE-GGA.

a b c (Å): 5.544 5.544 5.544
angles (deg): 90.00 90.00 90.00
Each line ends with the local moment (μB).
Positions (direct):
Co  0.000  0.000  0.000  0.14
Os  0.500  0.500  0.500  1.27
Ba  0.000  0.500  0.000  -0.06
Ba  0.000  0.000  0.500  -0.06
Ba  0.500  0.000  0.000  -0.05

## Properties
- SG: Pm-3m (221)
- ΔH_f (0 K): 5.50 eV/f.u.
- Raw total energy: -18.61 eV/cell
- Magnetization: 0.20 μB/atom

---

# 2
A relaxed Ba2CoOs crystal. Source: Alexandria, functional PBE-GGA.

a b c (Å): 4.201 4.907 6.355
angles (deg): 67.27 90.00 90.00
Positions (direct):
Ba  0.000  0.983  0.909
Ba  0.500  0.267  0.340
Co  0.000  0.663  0.550
Os  0.500  0.587  0.701

## Properties
- SG: Amm2 (38)
- Energy above the most stable polymorph in this dataset: 138 meV per atom
- ΔH_f (0 K): 1.65 eV/f.u.
- Raw total energy: -20.53 eV/cell
- Magnetization: 0.00 μB/atom

---

# 3
A relaxed Ba2CoOs crystal. Source: Alexandria, functional PBE-GGA.

a b c (Å): 3.499 3.499 9.525
angles (deg): 90.00 90.00 90.03
Each line ends with the local moment (μB).
Positions (direct):
Ba  0.000  0.000  0.907  -0.03
Ba  0.500  0.500  0.342  -0.04
Co  0.000  0.000  0.599  1.53
Os  0.500  0.500  0.651  0.56

## Properties
- SG: P4mm (99)
- Energy above the most stable polymorph in this dataset: 333 meV per atom
- ΔH_f (0 K): 2.43 eV/f.u.
- Raw total energy: -19.75 eV/cell
- Magnetization: 0.49 μB/atom

---

# 4
A relaxed Ba2CoOs crystal. Source: Alexandria, functional PBE-GGA.

a b c (Å): 5.396 5.396 5.396
angles (deg): 60.00 60.00 60.00
Each line ends with the local moment (μB).
Positions (direct):
Co  0.000  0.000  0.000  1.84
Os  0.500  0.500  0.500  1.06
Ba  0.250  0.250  0.250  -0.06
Ba  0.750  0.750  0.750  -0.06

## Properties
- SG: Fm-3m (225)
- Energy above the most stable polymorph in this dataset: 803 meV per atom
- ΔH_f (0 K): 4.31 eV/f.u.
- Raw total energy: -17.87 eV/cell
- Magnetization: 0.69 μB/atom

---

# 5
A relaxed BaCo4Os crystal. Source: Alexandria, functional PBE-GGA.

a b c (Å): 5.078 5.078 5.078
angles (deg): 60.00 60.00 60.00
Each line ends with the local moment (μB).
Positions (direct):
Ba  0.000  0.000  0.000  -0.06
Co  0.868  0.377  0.377  1.75
Co  0.377  0.377  0.868  1.75
Co  0.377  0.868  0.377  1.75
Co  0.377  0.377  0.377  1.75
Os  0.750  0.750  0.750  1.26

## Properties
- SG: F-43m (216)
- ΔH_f (0 K): 4.76 eV/f.u.
- Raw total energy: -36.82 eV/cell
- Magnetization: 1.35 μB/atom

---

# 6
A relaxed Ba2CoOs crystal. Source: Alexandria, functional PBE-GGA.

a b c (Å): 4.660 4.660 8.223
angles (deg): 85.09 85.09 40.57
Each line ends with the local moment (μB).
Positions (direct):
Ba  0.004  0.004  0.991  -0.08
Ba  0.496  0.496  0.509  -0.08
Co  0.250  0.250  0.250  1.76
Os  0.750  0.750  0.750  1.13

## Properties
- SG: C2/m (12)
- Energy above the most stable polymorph in this dataset: 985 meV per atom
- ΔH_f (0 K): 5.04 eV/f.u.
- Raw total energy: -17.14 eV/cell
- Magnetization: 0.65 μB/atom

---

# 7
A relaxed Ba2CoOs crystal. Source: Alexandria, functional PBE-GGA.

a b c (Å): 7.910 7.910 7.910
angles (deg): 149.72 145.92 46.22
Positions (direct):
Ba  0.996  0.996  0.000
Ba  0.752  0.252  0.500
Co  0.407  0.407  0.000
Os  0.345  0.845  0.500

## Properties
- SG: Imm2 (44)
- Energy above the most stable polymorph in this dataset: 183 meV per atom
- ΔH_f (0 K): 1.83 eV/f.u.
- Raw total energy: -20.35 eV/cell
- Magnetization: 0.00 μB/atom

---

# 8
A relaxed BaCoOs crystal. Source: Alexandria, functional PBE-GGA.

a b c (Å): 4.631 4.631 4.631
angles (deg): 60.00 60.00 60.00
Each line ends with the local moment (μB).
Positions (direct):
Ba  0.500  0.500  0.500  -0.03
Co  0.750  0.750  0.750  1.77
Os  0.000  0.000  0.000  1.46

## Properties
- SG: F-43m (216)
- Energy above the most stable polymorph in this dataset: 850 meV per atom
- ΔH_f (0 K): 4.04 eV/f.u.
- Raw total energy: -16.22 eV/cell
- Magnetization: 1.09 μB/atom

---

# 9
A relaxed Ba2CoOs crystal. Source: Alexandria, functional PBE-GGA.

a b c (Å): 3.717 3.717 8.126
angles (deg): 90.00 90.00 90.00
Each line ends with the local moment (μB).
Positions (direct):
Ba  0.000  0.000  0.989  -0.05
Ba  0.000  0.000  0.511  -0.05
Co  0.500  0.500  0.250  1.86
Os  0.500  0.500  0.750  0.82

## Properties
- SG: P4/mmm (123)
- Energy above the most stable polymorph in this dataset: 807 meV per atom
- ΔH_f (0 K): 4.33 eV/f.u.
- Raw total energy: -17.85 eV/cell
- Magnetization: 0.63 μB/atom

---

# 10
A relaxed Ba2CoOs crystal. Source: Alexandria, functional PBE-GGA.

a b c (Å): 5.237 5.237 5.237
angles (deg): 120.11 120.11 89.82
Each line ends with the local moment (μB).
Positions (direct):
Ba  0.000  0.000  0.000  -0.01
Ba  0.250  0.750  0.500  -0.08
Co  0.500  0.500  0.000  1.85
Os  0.750  0.250  0.500  1.19

## Properties
- SG: I-4m2 (119)
- Energy above the most stable polymorph in this dataset: 860 meV per atom
- ΔH_f (0 K): 4.54 eV/f.u.
- Raw total energy: -17.64 eV/cell
- Magnetization: 0.71 μB/atom

---

# 11
A relaxed BaCo2Os2 crystal. Source: Alexandria, functional PBE-GGA.

a b c (Å): 4.230 4.230 6.402
angles (deg): 70.71 70.71 90.00
Each line ends with the local moment (μB).
Positions (direct):
Co  0.345  0.345  0.310  1.12
Co  0.655  0.655  0.690  1.12
Os  0.750  0.250  0.500  0.39
Os  0.250  0.750  0.500  0.39
Ba  0.000  0.000  0.000  -0.02

## Properties
- SG: I4/mmm (139)
- Energy above the most stable polymorph in this dataset: 0 meV per atom
- ΔH_f (0 K): 2.70 eV/f.u.
- Raw total energy: -35.90 eV/cell
- Magnetization: 0.60 μB/atom

---

# 12
A relaxed BaCo2Os2 crystal. Source: Alexandria, functional PBE-GGA.

a b c (Å): 7.797 7.797 2.759
angles (deg): 90.00 90.00 90.00
Each line ends with the local moment (μB).
Positions (direct):
Co  0.337  0.837  0.000  1.21
Co  0.837  0.663  0.000  1.23
Co  0.663  0.163  0.000  1.22
Co  0.163  0.337  0.000  1.23
Os  0.118  0.618  0.500  0.20
Os  0.618  0.882  0.500  0.19
Os  0.882  0.382  0.500  0.20
Os  0.382  0.118  0.500  0.19
Ba  0.000  0.000  0.000  0.00
Ba  0.500  0.500  0.000  0.00

## Properties
- SG: P4/mbm (127)
- Energy above the most stable polymorph in this dataset: 186 meV per atom
- ΔH_f (0 K): 3.63 eV/f.u.
- Raw total energy: -69.93 eV/cell
- Magnetization: 0.56 μB/atom

---

# 13
A relaxed BaCoOs4 crystal. Source: Alexandria, functional PBE-GGA.

a b c (Å): 5.377 5.377 5.377
angles (deg): 60.00 60.00 60.00
Each line ends with the local moment (μB).
Positions (direct):
Ba  0.750  0.750  0.750  0.02
Co  0.000  0.000  0.000  2.12
Os  0.878  0.374  0.374  0.34
Os  0.374  0.374  0.878  0.34
Os  0.374  0.878  0.374  0.34
Os  0.374  0.374  0.374  0.34

## Properties
- SG: F-43m (216)
- ΔH_f (0 K): 6.58 eV/f.u.
- Raw total energy: -47.37 eV/cell
- Magnetization: 0.59 μB/atom

---

# 14
A relaxed Ba2CoOs crystal. Source: Alexandria, functional PBE-GGA.

a b c (Å): 4.207 4.207 9.087
angles (deg): 77.59 77.59 60.01
Each line ends with the local moment (μB).
Positions (direct):
Ba  0.047  0.047  0.877  0.02
Ba  0.203  0.203  0.373  0.02
Co  0.458  0.458  0.625  1.13
Os  0.792  0.792  0.625  0.54

## Properties
- SG: Cm (8)
- Energy above the most stable polymorph in this dataset: 0 meV per atom
- ΔH_f (0 K): 1.10 eV/f.u.
- Raw total energy: -21.08 eV/cell
- Magnetization: 0.51 μB/atom

---

# 15
A relaxed Ba4CoOs crystal. Source: Alexandria, functional PBE-GGA.

a b c (Å): 6.717 6.717 6.717
angles (deg): 60.00 60.00 60.00
Each line ends with the local moment (μB).
Positions (direct):
Ba  0.877  0.374  0.374  -0.13
Ba  0.374  0.374  0.877  -0.13
Ba  0.374  0.877  0.374  -0.13
Ba  0.374  0.374  0.374  -0.13
Co  0.750  0.750  0.750  1.95
Os  0.000  0.000  0.000  1.02

## Properties
- SG: F-43m (216)
- ΔH_f (0 K): 9.67 eV/f.u.
- Raw total energy: -16.35 eV/cell
- Magnetization: 0.30 μB/atom

---

# 16
A relaxed BaCoOs crystal. Source: Alexandria, functional PBE-GGA.

a b c (Å): 6.271 6.270 3.321
angles (deg): 74.65 74.63 30.72
Each line ends with the local moment (μB).
Positions (direct):
Ba  0.001  0.001  0.999  -0.04
Co  0.281  0.281  0.719  1.26
Os  0.718  0.718  0.282  0.46

## Properties
- SG: I4mm (107)
- Energy above the most stable polymorph in this dataset: 218 meV per atom
- ΔH_f (0 K): 2.14 eV/f.u.
- Raw total energy: -18.11 eV/cell
- Magnetization: 0.56 μB/atom

---

# 17
A relaxed BaCoOs crystal. Source: Alexandria, functional PBE-GGA.

a b c (Å): 4.006 4.006 5.153
angles (deg): 90.00 90.00 120.00
Positions (direct):
Ba  0.000  0.000  0.000
Co  0.667  0.333  0.500
Os  0.333  0.667  0.500

## Properties
- SG: P-6m2 (187)
- Energy above the most stable polymorph in this dataset: 0 meV per atom
- ΔH_f (0 K): 1.49 eV/f.u.
- Raw total energy: -18.77 eV/cell
- Magnetization: 0.00 μB/atom

---

# 18
A relaxed Ba2CoOs crystal. Source: Alexandria, functional PBE-GGA.

a b c (Å): 9.668 9.668 9.668
angles (deg): 22.07 22.07 22.07
Each line ends with the local moment (μB).
Positions (direct):
Ba  0.002  0.002  0.002  -0.08
Ba  0.498  0.498  0.498  -0.08
Co  0.250  0.250  0.250  1.72
Os  0.750  0.750  0.750  0.50

## Properties
- SG: R-3m (166)
- Energy above the most stable polymorph in this dataset: 1038 meV per atom
- ΔH_f (0 K): 5.25 eV/f.u.
- Raw total energy: -16.93 eV/cell
- Magnetization: 0.47 μB/atom

---

# 19
A relaxed BaCoOsPb2 crystal. Source: Alexandria, functional PBE-GGA.

a b c (Å): 5.266 5.077 5.266
angles (deg): 90.00 90.00 90.00
Each line ends with the local moment (μB).
Positions (direct):
Pb  0.000  0.000  0.500  0.04
Pb  0.500  0.000  0.000  0.01
Co  0.000  0.500  0.000  2.06
Os  0.000  0.000  0.000  0.27
Ba  0.500  0.500  0.500  -0.01

## Properties
- SG: P4/mmm (123)
- ΔH_f (0 K): 2.38 eV/f.u.
- Raw total energy: -25.30 eV/cell
- Magnetization: 0.48 μB/atom

---

# 20
A relaxed BaCo2OsRu crystal. Source: Alexandria, functional PBE-GGA.

a b c (Å): 4.630 5.026 4.630
angles (deg): 90.00 90.00 90.00
Each line ends with the local moment (μB).
Positions (direct):
Ru  0.500  0.500  0.500  2.16
Os  0.000  0.500  0.000  0.77
Ba  0.000  0.000  0.000  -0.14
Co  0.000  0.000  0.500  1.04
Co  0.500  0.000  0.000  1.22

## Properties
- SG: P4/mmm (123)
- ΔH_f (0 K): 15.09 eV/f.u.
- Raw total energy: -21.55 eV/cell
- Magnetization: 1.01 μB/atom

---

# 21
A relaxed BaCoSi2Os crystal. Source: Alexandria, functional PBE-GGA.

a b c (Å): 4.451 5.016 4.451
angles (deg): 90.00 90.00 90.00
Each line ends with the local moment (μB).
Positions (direct):
Co  0.000  0.000  0.000  0.79
Si  0.000  0.000  0.500  0.01
Si  0.500  0.000  0.000  0.01
Os  0.000  0.500  0.000  1.42
Ba  0.500  0.500  0.500  -0.01

## Properties
- SG: P4/mmm (123)
- E_form (uncorrected): 0.531 eV per atom
- Raw total energy: -28.45 eV/cell
- Magnetization: 0.46 μB/atom

---

# 22
A relaxed BaTlCo2Os crystal. Source: Alexandria, functional PBE-GGA.

a b c (Å): 4.839 5.210 4.839
angles (deg): 90.00 90.00 90.00
Each line ends with the local moment (μB).
Positions (direct):
Co  0.000  0.000  0.500  2.08
Co  0.500  0.000  0.000  1.64
Tl  0.000  0.500  0.000  0.01
Os  0.000  0.000  0.000  0.41
Ba  0.500  0.500  0.500  -0.05

## Properties
- SG: P4/mmm (123)
- ΔH_f (0 K): 3.63 eV/f.u.
- Raw total energy: -26.10 eV/cell
- Magnetization: 0.80 μB/atom

---

# 23
A relaxed BaZn2CoOs crystal. Source: Alexandria, functional PBE-GGA.

a b c (Å): 4.749 4.625 4.749
angles (deg): 90.00 90.00 90.00
Positions (direct):
Co  0.000  0.000  0.000
Zn  0.000  0.000  0.500
Zn  0.500  0.000  0.000
Os  0.000  0.500  0.000
Ba  0.500  0.500  0.500

## Properties
- SG: P4/mmm (123)
- ΔH_f (0 K): 2.07 eV/f.u.
- Raw total energy: -20.73 eV/cell
- Magnetization: 0.00 μB/atom

---

# 24
A relaxed BaZrCo2Os crystal. Source: Alexandria, functional PBE-GGA.

a b c (Å): 4.882 4.910 4.882
angles (deg): 90.00 90.00 90.00
Each line ends with the local moment (μB).
Positions (direct):
Co  0.000  0.000  0.500  2.01
Co  0.500  0.000  0.000  1.37
Os  0.000  0.000  0.000  0.31
Ba  0.500  0.500  0.500  -0.06
Zr  0.000  0.500  0.000  -0.07

## Properties
- SG: P4/mmm (123)
- ΔH_f (0 K): 3.58 eV/f.u.
- Raw total energy: -32.33 eV/cell
- Magnetization: 0.66 μB/atom

---

# 25
A relaxed Ba2Co2P crystal. Source: Alexandria, functional PBE-GGA.

a b c (Å): 7.011 7.011 4.745
angles (deg): 90.00 90.00 90.00
Each line ends with the local moment (μB).
Positions (direct):
P  0.000  0.000  0.000  0.06
P  0.500  0.500  0.000  0.06
Co  0.388  0.888  0.000  1.56
Co  0.888  0.612  0.000  1.62
Co  0.612  0.112  0.000  1.56
Co  0.112  0.388  0.000  1.62
Ba  0.192  0.692  0.500  -0.07
Ba  0.692  0.808  0.500  -0.07
Ba  0.808  0.308  0.500  -0.07
Ba  0.308  0.192  0.500  -0.07

## Properties
- SG: P4/mbm (127)
- Energy above the most stable polymorph in this dataset: 19 meV per atom
- ΔH_f (0 K): 0.85 eV/f.u.
- Raw total energy: -45.23 eV/cell
- Magnetization: 0.60 μB/atom

---

# 26
A relaxed Ba2CoP2 crystal. Source: Alexandria, functional PBE-GGA.

a b c (Å): 6.449 6.449 5.301
angles (deg): 90.00 90.00 90.00
Positions (direct):
P  0.367  0.867  0.000
P  0.867  0.633  0.000
P  0.633  0.133  0.000
P  0.133  0.367  0.000
Co  0.000  0.000  0.000
Co  0.500  0.500  0.000
Ba  0.180  0.680  0.500
Ba  0.680  0.820  0.500
Ba  0.820  0.320  0.500
Ba  0.320  0.180  0.500

## Properties
- SG: P4/mbm (127)
- ΔH_f (0 K): -1.43 eV/f.u.
- Raw total energy: -46.41 eV/cell
- Magnetization: 0.00 μB/atom

---

# 27
A relaxed BaCoP crystal. Source: Alexandria, functional PBE-GGA.

a b c (Å): 4.648 4.648 4.648
angles (deg): 60.00 60.00 60.00
Each line ends with the local moment (μB).
Positions (direct):
Ba  0.500  0.500  0.500  0.07
Co  0.750  0.750  0.750  1.63
P  0.000  0.000  0.000  0.13

## Properties
- SG: F-43m (216)
- ΔH_f (0 K): 0.47 eV/f.u.
- Raw total energy: -13.97 eV/cell
- Magnetization: 0.67 μB/atom

---

# 28
A relaxed Ba2Co2P crystal. Source: Alexandria, functional PBE-GGA.

a b c (Å): 6.077 6.077 5.491
angles (deg): 56.40 56.40 90.00
Positions (direct):
P  0.000  0.000  0.000
Co  0.314  0.314  0.372
Co  0.686  0.686  0.628
Ba  0.750  0.250  0.500
Ba  0.250  0.750  0.500

## Properties
- SG: I4/mmm (139)
- Energy above the most stable polymorph in this dataset: 0 meV per atom
- ΔH_f (0 K): 0.76 eV/f.u.
- Raw total energy: -22.71 eV/cell
- Magnetization: 0.00 μB/atom